No. 1
BaY2Mo4O16: PBEsol geometry, SCAN.

Computed properties:
- SG = C2/c (15)
- theoretical density (g/cm³) = 5.1
- VASP energy (eV/atom) = -17.31

Cell lengths 5.1756, 6.7374, 19.3847 Å; angles 89.16, 87.82, 67.41 degrees
Fractional coordinates of all 46 atoms:
Ba1 0.5349 0.9303 0.2500
Ba2 0.4651 0.0697 0.7500
Y1 0.6504 0.7046 0.0317
Y2 0.3496 0.2954 0.9683
Y3 0.6450 0.7046 0.4683
Y4 0.3550 0.2954 0.5317
Mo1 0.9545 0.1190 0.4088
Mo2 0.0455 0.8810 0.5912
Mo3 0.9265 0.1190 0.0912
Mo4 0.0735 0.8810 0.9088
Mo5 0.2404 0.5101 0.3537
Mo6 0.7596 0.4899 0.6463
Mo7 0.2495 0.5101 0.1463
Mo8 0.7505 0.4899 0.8537
O1 0.9904 0.3422 0.4563
O2 0.0096 0.6578 0.5437
O3 0.6674 0.3422 0.0437
O4 0.3326 0.6578 0.9563
O5 0.0892 0.4754 0.0664
O6 0.9108 0.5246 0.9336
O7 0.4355 0.4754 0.4336
O8 0.5645 0.5246 0.5664
O9 0.0450 0.1657 0.1683
O10 0.9550 0.8343 0.8317
O11 0.7893 0.1657 0.3317
O12 0.2107 0.8343 0.6683
O13 0.1756 0.1015 0.8973
O14 0.8244 0.8985 0.1027
O15 0.7230 0.1015 0.6027
O16 0.2770 0.8985 0.3973
O17 0.8861 0.6972 0.3671
O18 0.1139 0.3028 0.6329
O19 0.4167 0.6972 0.1329
O20 0.5833 0.3028 0.8671
O21 0.2396 0.0339 0.0348
O22 0.7604 0.9661 0.9652
O23 0.7265 0.0339 0.4652
O24 0.2735 0.9661 0.5348
O25 0.2297 0.2649 0.3295
O26 0.7703 0.7351 0.6705
O27 0.5055 0.2649 0.1705
O28 0.4945 0.7351 0.8295
O29 0.9951 0.5993 0.2108
O30 0.0049 0.4007 0.7892
O31 0.4056 0.5993 0.2892
O32 0.5944 0.4007 0.7108

***

No. 2
BaMo2Os: PBEsol geometry, SCAN.

Computed properties:
- SG = P4/mmm (123)
- theoretical density (g/cm³) = 12.2
- energy above the most stable polymorph in this dataset (meV per atom) = 612.2

Cell lengths 3.0824, 4.7973, 4.7973 Å; angles 90.00, 90.00, 90.00 degrees
Fractional coordinates of all 4 atoms:
Ba1 0.5000 0.0000 0.0000
Mo1 0.0000 0.0000 0.5000
Mo2 0.0000 0.5000 0.0000
Os1 0.5000 0.5000 0.5000

***

No. 3
BaMoOs2: PBEsol geometry, SCAN.

Computed properties:
- SG = P4/mmm (123)
- theoretical density (g/cm³) = 13.3
- energy above the most stable polymorph in this dataset (meV per atom) = 0.0

Cell lengths 3.1005, 3.1005, 7.9968 Å; angles 90.00, 90.00, 90.00 degrees
Fractional coordinates of all 4 atoms:
Ba1 0.5000 0.5000 0.0000
Mo1 0.5000 0.5000 0.5000
Os1 0.0000 0.0000 0.6815
Os2 0.0000 0.0000 0.3185

***

No. 4
BaMoOs2: PBEsol geometry, SCAN.

Computed properties:
- SG = Pmm2 (25)
- theoretical density (g/cm³) = 12.6
- energy above the most stable polymorph in this dataset (meV per atom) = 226.2

Cell lengths 2.8511, 3.6754, 7.7283 Å; angles 90.00, 90.00, 90.00 degrees
Fractional coordinates of all 4 atoms:
Ba1 0.0000 0.0000 0.4887
Mo1 0.5000 0.5000 0.8347
Os1 0.0000 0.0000 0.0119
Os2 0.5000 0.5000 0.1647